An optimized crystal structure of K3WF, computed with PBE+U.

The calculation puts the total magnetization at 5.907 μB per formula unit. As for the polymorph energy (0 for the lowest one): 0.0 meV per atom. Its calculated density is 3.14 Mg/m³. Its density of states at the Fermi level is 1.53 states/eV/cell.

Unit cell a=5.530 b=5.530 c=5.530 alpha=90.00 beta=90.00 gamma=90.00
Site moments in Bohr magnetons follow the coordinates.
Fractional positions:
K 0.000 0.500 0.000  0.03
K 0.000 0.000 0.500  0.04
K 0.500 0.000 0.000  0.02
W 0.500 0.500 0.500  3.77
F 0.000 0.000 0.000  0.01